DFT (GGA-PBE) results for a relaxed Ac2SnSe3 crystal.

Theoretical density in g cm⁻³: 7.2
Space-group type: Immm, No. 71
Calculated total energy in eV/atom: -5.11

a b c (Å): 3.981 5.492 9.174
angles (deg): 107.42 102.53 90.00
Atoms (fractional coordinates):
Ac: 0.645 0.645 0.290
Ac: 0.355 0.355 0.710
Sn: 0.000 0.000 0.000
Se: 0.000 0.500 0.000
Se: 0.826 0.826 0.651
Se: 0.174 0.174 0.349

***

DFT (GGA-PBE) results for a relaxed Ba2CdCuRh crystal.

Theoretical density in g cm⁻³: 5.4
Distance to the lowest polymorph of the same formula in meV per atom: 175
Space-group type: P4/mmm, No. 123
Calculated total energy in eV/atom: -3.24

a b c (Å): 5.915 4.883 5.915
angles (deg): 90.00 90.00 90.00
Atoms (fractional coordinates):
Rh: 0.000 0.000 0.000
Ba: 0.000 0.000 0.500
Ba: 0.500 0.000 0.000
Cu: 0.000 0.500 0.000
Cd: 0.500 0.500 0.500

***

DFT (GGA-PBE) results for a relaxed BaCuSb2 crystal.

Theoretical density in g cm⁻³: 6.2
Space-group type: Cmmm, No. 65
Calculated total energy in eV/atom: -3.75

a b c (Å): 4.080 4.080 7.799
angles (deg): 90.00 90.00 112.99
Atoms (fractional coordinates):
Ba: 0.500 0.500 0.250
Cu: 0.500 0.500 0.750
Sb: 0.000 0.000 0.937
Sb: 0.000 0.000 0.563